## HgOs2Br (PBE)

Data for an optimized crystal structure of HgOs2Br.

Geometry as CIF:
```
data_HgOs2Br
_space_group_name_H-M_alt 'P 1'
_space_group_IT_number 1
_space_group_name_Hall 'P 1'
_cell_length_a 3.120
_cell_length_b 3.120
_cell_length_c 6.925
_cell_angle_alpha 90.00
_cell_angle_beta 90.00
_cell_angle_gamma 90.00
loop_
_atom_site_label
_atom_site_fract_x
_atom_site_fract_y
_atom_site_fract_z
_atom_site_occupancy
Os1 0.000 0.000 0.025 1
Os2 0.000 0.000 0.475 1
Hg1 0.500 0.500 0.750 1
Br1 0.500 0.500 0.250 1
```

Properties
DOS(E_F) = 4.463 states/eV per cell
E_form (uncorrected) = 1.54 eV/atom
total moment = 0.00 μB/f.u.
distance to the lowest polymorph of the same formula = 647 meV/atom

## HgOs2Br (PBE)

Data for an optimized crystal structure of HgOs2Br.

Geometry as CIF:
```
data_HgOs2Br
_space_group_name_H-M_alt 'P 1'
_space_group_IT_number 1
_space_group_name_Hall 'P 1'
_cell_length_a 7.199
_cell_length_b 7.199
_cell_length_c 5.840
_cell_angle_alpha 51.95
_cell_angle_beta 51.95
_cell_angle_gamma 90.00
loop_
_atom_site_label
_atom_site_fract_x
_atom_site_fract_y
_atom_site_fract_z
_atom_site_occupancy
Os1 0.577 0.125 0.250 1
Os2 0.173 0.625 0.250 1
Os3 0.375 0.423 0.750 1
Os4 0.875 0.827 0.750 1
Hg1 0.000 0.000 0.000 1
Hg2 0.750 0.250 0.500 1
Br1 0.500 0.500 0.000 1
Br2 0.250 0.750 0.500 1
```

Properties
DOS(E_F) = 10.029 states/eV per cell
E_form (uncorrected) = 1.75 eV/atom
total moment = 0.00 μB/f.u.
distance to the lowest polymorph of the same formula = 854 meV/atom

## HgOsBr2 (PBE)

Data for an optimized crystal structure of HgOsBr2.

Geometry as CIF:
```
data_HgOsBr2
_space_group_name_H-M_alt 'P 1'
_space_group_IT_number 1
_space_group_name_Hall 'P 1'
_cell_length_a 3.720
_cell_length_b 3.078
_cell_length_c 9.844
_cell_angle_alpha 89.53
_cell_angle_beta 90.00
_cell_angle_gamma 90.00
loop_
_atom_site_label
_atom_site_fract_x
_atom_site_fract_y
_atom_site_fract_z
_atom_site_occupancy
Os1 0.500 0.750 0.750 1
Hg1 0.500 0.250 0.250 1
Br1 0.000 0.745 0.915 1
Br2 0.000 0.755 0.585 1
```

Properties
DOS(E_F) = 2.029 states/eV per cell
E_form (uncorrected) = 0.38 eV/atom
total moment = 0.00 μB/f.u.
distance to the lowest polymorph of the same formula = 73 meV/atom

## HgOsBr2 (PBE)

Data for an optimized crystal structure of HgOsBr2.

Geometry as CIF:
```
data_HgOsBr2
_space_group_name_H-M_alt 'P 1'
_space_group_IT_number 1
_space_group_name_Hall 'P 1'
_cell_length_a 3.416
_cell_length_b 3.416
_cell_length_c 10.800
_cell_angle_alpha 90.00
_cell_angle_beta 90.00
_cell_angle_gamma 124.87
loop_
_atom_site_label
_atom_site_fract_x
_atom_site_fract_y
_atom_site_fract_z
_atom_site_occupancy
Os1 0.500 0.500 0.750 1
Hg1 0.500 0.500 0.250 1
Br1 0.000 0.000 0.931 1
Br2 0.000 0.000 0.569 1
```

Properties
DOS(E_F) = 1.890 states/eV per cell
E_form (uncorrected) = 0.55 eV/atom
total moment = 0.00 μB/f.u.
distance to the lowest polymorph of the same formula = 244 meV/atom

## Hg4OsBr (PBE)

Data for an optimized crystal structure of Hg4OsBr.

Geometry as CIF:
```
data_Hg4OsBr
_space_group_name_H-M_alt 'P 1'
_space_group_IT_number 1
_space_group_name_Hall 'P 1'
_cell_length_a 5.907
_cell_length_b 5.907
_cell_length_c 5.907
_cell_angle_alpha 60.00
_cell_angle_beta 60.00
_cell_angle_gamma 60.00
loop_
_atom_site_label
_atom_site_fract_x
_atom_site_fract_y
_atom_site_fract_z
_atom_site_occupancy
Hg1 0.874 0.375 0.375 1
Hg2 0.375 0.375 0.874 1
Hg3 0.375 0.874 0.375 1
Hg4 0.375 0.375 0.375 1
Os1 0.750 0.750 0.750 1
Br1 0.000 0.000 0.000 1
```

Properties
DOS(E_F) = 7.077 states/eV per cell
E_form (uncorrected) = 1.03 eV/atom
total moment = 2.76 μB/f.u.

## HgOsBr2 (PBE)

Data for an optimized crystal structure of HgOsBr2.

Geometry as CIF:
```
data_HgOsBr2
_space_group_name_H-M_alt 'P 1'
_space_group_IT_number 1
_space_group_name_Hall 'P 1'
_cell_length_a 3.245
_cell_length_b 6.041
_cell_length_c 4.570
_cell_angle_alpha 90.00
_cell_angle_beta 90.00
_cell_angle_gamma 90.00
loop_
_atom_site_label
_atom_site_fract_x
_atom_site_fract_y
_atom_site_fract_z
_atom_site_occupancy
Os1 0.000 0.500 0.500 1
Hg1 0.500 0.000 0.500 1
Br1 0.000 0.000 0.000 1
Br2 0.500 0.500 0.000 1
```

Properties
DOS(E_F) = 4.324 states/eV per cell
E_form (uncorrected) = 1.14 eV/atom
total moment = 1.66 μB/f.u.
distance to the lowest polymorph of the same formula = 833 meV/atom

## HgOs2Br (PBE)

Data for an optimized crystal structure of HgOs2Br.

Geometry as CIF:
```
data_HgOs2Br
_space_group_name_H-M_alt 'P 1'
_space_group_IT_number 1
_space_group_name_Hall 'P 1'
_cell_length_a 2.963
_cell_length_b 2.963
_cell_length_c 9.478
_cell_angle_alpha 90.00
_cell_angle_beta 90.00
_cell_angle_gamma 122.89
loop_
_atom_site_label
_atom_site_fract_x
_atom_site_fract_y
_atom_site_fract_z
_atom_site_occupancy
Os1 0.000 0.000 0.010 1
Os2 0.000 0.000 0.490 1
Hg1 0.500 0.500 0.750 1
Br1 0.500 0.500 0.250 1
```

Properties
DOS(E_F) = 4.216 states/eV per cell
E_form (uncorrected) = 1.32 eV/atom
total moment = 0.00 μB/f.u.
distance to the lowest polymorph of the same formula = 425 meV/atom

## HgOsBr2 (PBE)

Data for an optimized crystal structure of HgOsBr2.

Geometry as CIF:
```
data_HgOsBr2
_space_group_name_H-M_alt 'P 1'
_space_group_IT_number 1
_space_group_name_Hall 'P 1'
_cell_length_a 3.678
_cell_length_b 3.678
_cell_length_c 9.339
_cell_angle_alpha 90.00
_cell_angle_beta 90.00
_cell_angle_gamma 123.55
loop_
_atom_site_label
_atom_site_fract_x
_atom_site_fract_y
_atom_site_fract_z
_atom_site_occupancy
Os1 0.500 0.500 0.748 1
Hg1 0.000 0.000 0.521 1
Br1 0.000 0.000 0.932 1
Br2 0.500 0.500 0.299 1
```

Properties
DOS(E_F) = 2.147 states/eV per cell
E_form (uncorrected) = 0.64 eV/atom
total moment = 1.81 μB/f.u.
distance to the lowest polymorph of the same formula = 336 meV/atom